A plane-wave DFT calculation with GGA+U was carried out for crystalline LiBWF2 at its relaxed geometry.

Values from the calculation:
Uncorrected energy: -4.33 eV/atom
Magnetic moment: 0.0 μB/f.u.

Unit cell a=3.310 b=3.310 c=4.875 alpha=90.00 beta=90.00 gamma=90.00
Positions (direct):
Li1 0.000 0.000 0.000
B1 0.000 0.000 0.500
W1 0.500 0.500 0.500
F1 0.000 0.500 0.000
F2 0.500 0.000 0.000